Compound: CePd8Pb2
Source: the Alexandria database
Functional: PBE-GGA
Structure: relaxed

Cell lengths 5.057, 7.527, 7.573 Å; angles 60.20, 73.70, 55.61 degrees
Site moments in Bohr magnetons follow the coordinates.
Positions (direct):
Pd (0.154, 0.665, 0.236)  0.00
Pd (0.500, 0.207, 0.586)  -0.01
Pd (0.310, 0.422, 0.000)  -0.01
Pd (0.846, 0.335, 0.764)  0.00
Pd (0.154, 0.901, 0.764)  0.00
Pd (0.500, 0.793, 0.414)  -0.01
Pd (0.846, 0.099, 0.236)  0.00
Pd (0.690, 0.578, 0.000)  -0.01
Pb (0.000, 0.691, 0.618)  0.00
Pb (0.000, 0.309, 0.382)  0.00
Ce (0.500, 0.000, 0.000)  0.21

Calculated values
ΔH_f (0 K) = -3.584 eV/f.u.
magnetic moment = 0.0181 μB per atom